(1)
! Tm12Pb6N | the Alexandria database | PBE-GGA | relaxed; values from VASP
&SYSTEM
  ibrav = 0, nat = 19, ntyp = 3
/
ATOMIC_SPECIES
Tm 168.93 Tm.upf
Pb 207.20 Pb.upf
N 14.01 N.upf
ATOMIC_POSITIONS crystal
Tm 0.0444 0.9246 0.7177
Tm 0.0754 0.2823 0.9556
Tm 0.2032 0.4154 0.5415
Tm 0.2823 0.9556 0.0754
Tm 0.4154 0.5415 0.2032
Tm 0.4585 0.7968 0.5846
Tm 0.5415 0.2032 0.4154
Tm 0.5846 0.4585 0.7968
Tm 0.7177 0.0444 0.9246
Tm 0.7968 0.5846 0.4585
Tm 0.9246 0.7177 0.0444
Tm 0.9556 0.0754 0.2823
Pb 0.1338 0.7525 0.3733
Pb 0.2475 0.6267 0.8662
Pb 0.3733 0.1338 0.7525
Pb 0.6267 0.8662 0.2475
Pb 0.7525 0.3733 0.1338
Pb 0.8662 0.2475 0.6267
N 0.0000 0.0000 0.0000
CELL_PARAMETERS angstrom
5.8866 3.3986 4.5355
-5.8866 3.3986 4.5355
0.0000 -6.7972 4.5355
! **Energy relative to the elements, uncorrected**: -0.445 eV/atom

***

(2)
! Tm6Pb2N | the Alexandria database | PBE-GGA | relaxed; values from VASP
&SYSTEM
  ibrav = 0, nat = 9, ntyp = 3
/
ATOMIC_SPECIES
Tm 168.93 Tm.upf
Pb 207.20 Pb.upf
N 14.01 N.upf
ATOMIC_POSITIONS crystal
Tm 0.2165 0.3680 0.2642
Tm 0.2701 0.3699 0.7705
Tm 0.2699 0.8592 0.7701
Tm 0.7301 0.1408 0.2299
Tm 0.7299 0.6301 0.2295
Tm 0.7835 0.6320 0.7358
Pb 0.2128 0.8625 0.2748
Pb 0.7872 0.1375 0.7252
N 0.0000 0.5000 0.0000
CELL_PARAMETERS angstrom
6.0880 0.0000 0.0000
0.0061 6.5981 0.0000
1.6892 3.2971 5.6199
! **Energy relative to the elements, uncorrected**: -0.605 eV/atom

***

(3)
! Tm5Pb3N | the Alexandria database | PBE-GGA | relaxed; values from VASP
&SYSTEM
  ibrav = 0, nat = 18, ntyp = 3
/
ATOMIC_SPECIES
Tm 168.93 Tm.upf
Pb 207.20 Pb.upf
N 14.01 N.upf
ATOMIC_POSITIONS crystal
Tm 0.0000 0.2107 0.2500
Tm 0.0000 0.7893 0.7500
Tm 0.2107 0.0000 0.2500
Tm 0.2107 0.2107 0.7500
Tm 0.3333 0.6667 0.0000
Tm 0.3333 0.6667 0.5000
Tm 0.6667 0.3333 0.0000
Tm 0.6667 0.3333 0.5000
Tm 0.7893 0.0000 0.7500
Tm 0.7893 0.7893 0.2500
Pb 0.0000 0.4008 0.7500
Pb 0.0000 0.5992 0.2500
Pb 0.4008 0.0000 0.7500
Pb 0.4008 0.4008 0.2500
Pb 0.5992 0.0000 0.2500
Pb 0.5992 0.5992 0.7500
N 0.0000 0.0000 0.0000
N 0.0000 0.0000 0.5000
CELL_PARAMETERS angstrom
8.9149 0.0000 0.0000
-4.4575 7.7206 0.0000
0.0000 0.0000 6.3734
! **Energy relative to the elements, uncorrected**: -0.784 eV/atom

***

(4)
! Tm2PbN | the Alexandria database | PBE-GGA | relaxed; values from VASP
&SYSTEM
  ibrav = 0, nat = 4, ntyp = 3
/
ATOMIC_SPECIES
Tm 168.93 Tm.upf
Pb 207.20 Pb.upf
N 14.01 N.upf
ATOMIC_POSITIONS crystal
Tm 0.2220 0.2220 0.2220
Tm 0.7780 0.7780 0.7780
Pb 0.0000 0.0000 0.0000
N 0.5000 0.5000 0.5000
CELL_PARAMETERS angstrom
1.7529 1.0120 7.6768
-1.7529 1.0120 7.6768
0.0000 -2.0241 7.6768
! **Energy relative to the elements, uncorrected**: -1.114 eV/atom

***

(5)
! Tm6Pb2N | the Alexandria database | PBE-GGA | relaxed; values from VASP
&SYSTEM
  ibrav = 0, nat = 9, ntyp = 3
/
ATOMIC_SPECIES
Tm 168.93 Tm.upf
Pb 207.20 Pb.upf
N 14.01 N.upf
ATOMIC_POSITIONS crystal
Tm 0.2450 0.2450 0.0000
Tm 0.2456 0.2456 0.4913
Tm 0.2456 0.7544 0.0000
Tm 0.7544 0.2456 0.0000
Tm 0.7544 0.7544 0.5087
Tm 0.7550 0.7550 0.0000
Pb 0.2500 0.7500 0.5000
Pb 0.7500 0.2500 0.5000
N 0.0000 0.0000 0.0000
CELL_PARAMETERS angstrom
-3.3957 3.3957 4.8127
3.3957 -3.3957 4.8127
3.3957 3.3957 -4.8127
! **Energy relative to the elements, uncorrected**: -0.598 eV/atom

***

(6)
! Tm10Pb4N3 | the Alexandria database | PBE-GGA | relaxed; values from VASP
&SYSTEM
  ibrav = 0, nat = 17, ntyp = 3
/
ATOMIC_SPECIES
Tm 168.93 Tm.upf
Pb 207.20 Pb.upf
N 14.01 N.upf
ATOMIC_POSITIONS crystal
Tm 0.0000 0.5000 0.5000
Tm 0.0682 0.0682 0.0000
Tm 0.1365 0.6365 0.5000
Tm 0.2065 0.2065 0.0000
Tm 0.3635 0.8635 0.5000
Tm 0.5000 0.0000 0.5000
Tm 0.6365 0.1365 0.5000
Tm 0.7935 0.7935 0.0000
Tm 0.8635 0.3635 0.5000
Tm 0.9318 0.9318 0.0000
Pb 0.2980 0.2980 0.0000
Pb 0.4318 0.4318 0.0000
Pb 0.5682 0.5682 0.0000
Pb 0.7020 0.7020 0.0000
N 0.0000 0.0000 0.0000
N 0.1382 0.1382 0.0000
N 0.8618 0.8618 0.0000
CELL_PARAMETERS angstrom
-2.3627 2.3627 17.3548
2.3627 -2.3627 17.3548
2.3627 2.3627 -17.3548
! **Energy relative to the elements, uncorrected**: -0.907 eV/atom